Version w
{
  "formula": "NaHoTeO",
  "functional": "PBE",
  "state": "optimized geometry",
  "sg": "No. 26",
  "lattice_angstrom": [[4.5243, 0.0000, 0.0000], [0.0000, 7.7842, 0.0000], [0.0000, 0.0000, 6.4924]],
  "species": ["Na", "Na", "Ho", "Ho", "Te", "Te", "O", "O"],
  "fractional_positions": [[0.0000, 0.2252, 0.0000], [0.0000, 0.7748, 0.5000], [0.5000, 0.3866, 0.3822], [0.5000, 0.6134, 0.8822], [0.0000, 0.1795, 0.5268], [0.0000, 0.8205, 0.0268], [0.5000, 0.3891, 0.0593], [0.5000, 0.6109, 0.5593]]
}

Version x
{
  "formula": "NaHoTeO",
  "functional": "PBE",
  "state": "optimized geometry",
  "sg": "No. 129",
  "lattice_angstrom": [[4.0959, 0.0000, 0.0000], [0.0000, 4.0959, 0.0000], [0.0000, 0.0000, 10.1300]],
  "species": ["Na", "Na", "Ho", "Ho", "Te", "Te", "O", "O"],
  "fractional_positions": [[0.2500, 0.7500, 0.0000], [0.7500, 0.2500, 0.0000], [0.2500, 0.2500, 0.4010], [0.7500, 0.7500, 0.5990], [0.2500, 0.2500, 0.7824], [0.7500, 0.7500, 0.2176], [0.2500, 0.7500, 0.5000], [0.7500, 0.2500, 0.5000]]
}

Of them, version w has the lowest stability.

Version w
{
  "formula": "NaHoZnTe3",
  "functional": "PBE",
  "state": "optimized geometry",
  "sg": "No. 12",
  "lattice_angstrom": [[10.1622, -2.1558, 0.0000], [10.1622, 2.1558, 0.0000], [-1.9119, 0.0000, 8.4961]],
  "species": ["Na", "Na", "Ho", "Ho", "Zn", "Zn", "Te", "Te", "Te", "Te", "Te", "Te"],
  "fractional_positions": [[0.1205, 0.1205, 0.0684], [0.8795, 0.8795, 0.9316], [0.1737, 0.1737, 0.5796], [0.8263, 0.8263, 0.4204], [0.4598, 0.4598, 0.2744], [0.5402, 0.5402, 0.7256], [0.0000, 0.0000, 0.5000], [0.3260, 0.3260, 0.6626], [0.3279, 0.3279, 0.1728], [0.5000, 0.5000, 0.0000], [0.6721, 0.6721, 0.8272], [0.6740, 0.6740, 0.3374]]
}

Version x
{
  "formula": "NaHoZnTe3",
  "functional": "PBE",
  "state": "optimized geometry",
  "sg": "No. 63",
  "lattice_angstrom": [[2.1439, -7.3772, 0.0000], [2.1439, 7.3772, 0.0000], [0.0000, 0.0000, 11.5497]],
  "species": ["Na", "Na", "Ho", "Ho", "Zn", "Zn", "Te", "Te", "Te", "Te", "Te", "Te"],
  "fractional_positions": [[0.2359, 0.7641, 0.7500], [0.7641, 0.2359, 0.2500], [0.0000, 0.0000, 0.0000], [0.0000, 0.0000, 0.5000], [0.4689, 0.5311, 0.2500], [0.5311, 0.4689, 0.7500], [0.0834, 0.9166, 0.2500], [0.3609, 0.6391, 0.0660], [0.3609, 0.6391, 0.4340], [0.6391, 0.3609, 0.5660], [0.6391, 0.3609, 0.9340], [0.9166, 0.0834, 0.7500]]
}

Version y
{
  "formula": "NaHoZnTe3",
  "functional": "PBE",
  "state": "optimized geometry",
  "sg": "No. 11",
  "lattice_angstrom": [[8.8052, 0.0000, 0.0000], [0.0000, 4.3102, 0.0000], [-2.7678, 0.0000, 10.0183]],
  "species": ["Na", "Na", "Ho", "Ho", "Zn", "Zn", "Te", "Te", "Te", "Te", "Te", "Te"],
  "fractional_positions": [[0.2149, 0.2500, 0.2482], [0.7851, 0.7500, 0.7518], [0.3230, 0.7500, 0.8548], [0.6770, 0.2500, 0.1452], [0.0823, 0.2500, 0.6024], [0.9177, 0.7500, 0.3976], [0.0738, 0.2500, 0.8546], [0.2350, 0.7500, 0.5357], [0.4365, 0.7500, 0.1597], [0.5635, 0.2500, 0.8403], [0.7650, 0.2500, 0.4643], [0.9262, 0.7500, 0.1454]]
}

Of them, version w has the lowest stability.

Version w
{
  "formula": "NaHoZn",
  "functional": "PBE",
  "state": "optimized geometry",
  "sg": "No. 216",
  "lattice_angstrom": [[0.0000, 3.5096, 3.5096], [3.5096, 0.0000, 3.5096], [3.5096, 3.5096, 0.0000]],
  "species": ["Na", "Ho", "Zn"],
  "fractional_positions": [[0.0000, 0.0000, 0.0000], [0.2500, 0.2500, 0.2500], [0.5000, 0.5000, 0.5000]]
}

Version x
{
  "formula": "NaHoZn",
  "functional": "PBE",
  "state": "optimized geometry",
  "sg": "No. 216",
  "lattice_angstrom": [[0.0000, 3.4369, 3.4369], [3.4369, 0.0000, 3.4369], [3.4369, 3.4369, 0.0000]],
  "species": ["Na", "Ho", "Zn"],
  "fractional_positions": [[0.0000, 0.0000, 0.0000], [0.5000, 0.5000, 0.5000], [0.7500, 0.7500, 0.7500]]
}

Of them, version w has the lowest stability.